1.
{"formula": "CdMoIO6", "functional": "PBE+U", "state": "relaxed", "lattice_angstrom": [[-0.654, 5.217, -1.400], [-2.739, -3.890, -2.641], [-7.246, 0.795, 6.346]], "species": ["O", "O", "O", "O", "O", "O", "O", "O", "O", "O", "O", "O", "Mo", "Mo", "I", "I", "Cd", "Cd"], "frac_coords": [[0.643, 0.635, 0.138], [0.365, 0.008, 0.138], [0.008, 0.365, 0.638], [0.635, 0.992, 0.862], [0.008, 0.643, 0.862], [0.992, 0.357, 0.138], [0.357, 0.992, 0.638], [0.635, 0.643, 0.638], [0.365, 0.357, 0.362], [0.357, 0.365, 0.862], [0.992, 0.635, 0.362], [0.643, 0.008, 0.362], [0.333, 0.667, 0.750], [0.667, 0.333, 0.250], [0.333, 0.667, 0.250], [0.667, 0.333, 0.750], [0.000, 0.000, 0.000], [0.000, 0.000, 0.500]], "space_group": "No. 163"}

=====

2.
{"formula": "CdMoIO2", "functional": "PBE+U", "state": "relaxed", "lattice_angstrom": [[-3.015, -0.064, 2.985], [2.834, -1.396, 2.832], [1.371, 5.848, 1.510]], "species": ["O", "O", "Cd", "Mo", "I"], "frac_coords": [[0.500, 0.000, 0.000], [0.000, 0.500, 0.000], [0.000, 0.000, 0.000], [0.500, 0.500, 0.500], [0.000, 0.000, 0.500]], "de_polymorph_mev_per_atom": 993, "space_group": "No. 123"}

=====

| no. | total DFT energy (no corrections) (eV per atom) |
| --- | --- |
| 1 | -5.256 |
| 2 | -3.528 |